Below is a relaxed CdPdSO crystal, with properties calculated at the PBE-GGA level.

The calculation puts the theoretical density at 7.14 Mg/m³. For the uncorrected energy, the calculation gives -4.19 eV/atom.

The structure belongs to space group Pnma (No. 62); the cell edges are 5.968, 3.694 and 11.257 Å and the angles 90.00°, 90.00° and 90.00°. The inequivalent atoms are Cd at (0.235, 0.250, 0.013), Pd at (0.146, 0.250, 0.753), S at (0.096, 0.250, 0.340) and O at (0.107, 0.750, 0.110).